Entry from the Alexandria database: crystalline CsLaScCr2 at its relaxed geometry (PBE).

POSCAR file:
```
CsLaScCr2
1.0
-0.430 4.356 1.871
-5.179 0.675 -2.761
-2.250 -1.841 3.770
Cs Cr Sc La
1 2 1 1
Direct
0.000 0.500 0.000
0.000 0.000 0.500
0.500 0.000 0.000
0.500 0.500 0.500
0.000 0.000 0.000
```

DOS(E_F) in states/eV/atom: 2.539
Total magnetization in μB per cell: 0.00
E_form in meV/atom: 1952.7
Calculated total energy in eV per atom: -4.32